This record from the Alexandria database describes an optimized crystal structure of YAsP2Cl. The functional is PBE.

Unit cell a=4.784 b=4.784 c=4.794 alpha=90.00 beta=90.00 gamma=90.00
Fractional positions:
Cl  0.000  0.000  0.500
As  0.000  0.000  0.000
Y  0.500  0.500  0.500
P  0.000  0.500  0.000
P  0.500  0.000  0.000

As for the energy relative to the lowest polymorph listed for this composition: 0.000 eV per formula unit. The total magnetization is 0.0 μB/cell. The electronic total energy is -4.86 eV/atom.

This record from the Alexandria database describes an optimized crystal structure of TiAlCd2B. The functional is PBE.

Unit cell a=5.156 b=3.890 c=5.156 alpha=90.00 beta=90.00 gamma=90.00
Fractional positions:
Cd  0.000  0.000  0.500
Cd  0.500  0.000  0.000
Al  0.000  0.000  0.000
B  0.000  0.500  0.000
Ti  0.500  0.500  0.500

The total magnetization is 0.0 μB/cell. Its formation energy from the elements is 0.986 eV/atom. The electronic total energy is -3.04 eV/atom.

This record from the Alexandria database describes an optimized crystal structure of Yb3DySb3. The functional is PBE.

Unit cell a=9.328 b=9.328 c=9.328 alpha=90.00 beta=90.00 gamma=90.00
Fractional positions:
Sb  0.747  0.371  0.500
Sb  0.629  0.000  0.753
Sb  0.500  0.747  0.371
Sb  0.753  0.629  0.000
Sb  0.253  0.871  0.000
Sb  0.000  0.753  0.629
Sb  0.871  0.000  0.253
Sb  0.000  0.253  0.871
Sb  0.129  0.500  0.247
Sb  0.371  0.500  0.747
Sb  0.247  0.129  0.500
Sb  0.500  0.247  0.129
Dy  0.928  0.072  0.572
Dy  0.072  0.572  0.928
Dy  0.428  0.428  0.428
Dy  0.572  0.928  0.072
Yb  0.070  0.430  0.570
Yb  0.177  0.823  0.323
Yb  0.823  0.323  0.177
Yb  0.326  0.826  0.674
Yb  0.570  0.070  0.430
Yb  0.677  0.677  0.677
Yb  0.174  0.174  0.174
Yb  0.323  0.177  0.823
Yb  0.430  0.570  0.070
Yb  0.930  0.930  0.930
Yb  0.826  0.674  0.326
Yb  0.674  0.326  0.826

The total magnetization is 2.5 μB/cell. The electronic total energy is -4.15 eV/atom.

This record from the Alexandria database describes an optimized crystal structure of LiSiRh2. The functional is PBE.

Unit cell a=5.144 b=5.144 c=5.144 alpha=147.37 beta=133.96 gamma=57.57
Fractional positions:
Li  0.257  0.757  0.500
Rh  0.992  0.992  0.000
Rh  0.731  0.231  0.500
Si  0.520  0.520  0.000

The total magnetization is 0.0 μB/cell. The electronic total energy is -6.02 eV/atom.

This record from the Alexandria database describes an optimized crystal structure of Ac3Al2Sn6. The functional is PBE.

Unit cell a=4.697 b=4.697 c=15.848 alpha=98.52 beta=98.52 gamma=90.00
Fractional positions:
Sn  0.582  0.082  0.164
Sn  0.725  0.725  0.450
Sn  0.082  0.582  0.164
Sn  0.918  0.418  0.836
Sn  0.275  0.275  0.550
Sn  0.418  0.918  0.836
Ac  0.000  0.000  0.000
Ac  0.168  0.168  0.337
Ac  0.832  0.832  0.663
Al  0.362  0.362  0.724
Al  0.638  0.638  0.276

The total magnetization is 0.0 μB/cell. Its formation energy from the elements is -0.421 eV/atom. The electronic total energy is -4.40 eV/atom.

This record from the Alexandria database describes an optimized crystal structure of AlCu6Si2. The functional is PBE.

Unit cell a=6.238 b=5.791 c=6.756 alpha=90.00 beta=97.55 gamma=90.00
Fractional positions:
Cu  0.297  0.155  0.784
Cu  0.735  0.150  0.950
Cu  0.765  0.650  0.550
Cu  0.618  0.185  0.574
Cu  0.882  0.685  0.926
Cu  0.118  0.315  0.074
Cu  0.235  0.350  0.450
Cu  0.797  0.345  0.284
Cu  0.703  0.845  0.216
Cu  0.382  0.815  0.426
Cu  0.203  0.655  0.716
Cu  0.265  0.850  0.050
Si  0.453  0.159  0.228
Si  0.047  0.659  0.272
Si  0.953  0.341  0.728
Si  0.547  0.841  0.772
Al  0.500  0.500  0.000
Al  0.000  0.000  0.500

The total magnetization is 0.0 μB/cell. The electronic total energy is -4.36 eV/atom.

This record from the Alexandria database describes an optimized crystal structure of CsSrPt2N. The functional is PBE.

Unit cell a=5.135 b=5.135 c=7.643 alpha=90.00 beta=90.00 gamma=90.00
Fractional positions:
Cs  0.000  0.000  0.000
Sr  0.000  0.000  0.500
Pt  0.000  0.500  0.000
Pt  0.500  0.000  0.000
N  0.500  0.500  0.500

The total magnetization is 1.6 μB/cell. The electronic total energy is -2.53 eV/atom.

This record from the Alexandria database describes an optimized crystal structure of GdDyTe2. The functional is PBE.

Unit cell a=5.371 b=5.371 c=5.371 alpha=60.00 beta=60.00 gamma=60.00
Fractional positions:
Te  0.250  0.250  0.250
Te  0.750  0.750  0.750
Dy  0.500  0.500  0.500
Gd  0.000  0.000  0.000

As for the energy relative to the lowest polymorph listed for this composition: 0.001 eV per formula unit. The total magnetization is 8.3 μB/cell. The electronic total energy is -7.46 eV/atom.

This record from the Alexandria database describes an optimized crystal structure of BaCo2Au2. The functional is PBE.

Unit cell a=4.547 b=4.547 c=6.027 alpha=67.84 beta=67.84 gamma=90.00
Fractional positions:
Au  0.250  0.750  0.500
Au  0.750  0.250  0.500
Co  0.608  0.608  0.785
Co  0.392  0.392  0.215
Ba  0.000  0.000  0.000

The total magnetization is 3.5 μB/cell. Its formation energy from the elements is 0.088 eV/atom. The electronic total energy is -4.45 eV/atom.

This record from the Alexandria database describes an optimized crystal structure of K4SrPu3O12. The functional is PBE.

Unit cell a=7.528 b=7.528 c=7.528 alpha=109.47 beta=109.47 gamma=109.47
Fractional positions:
O  0.279  0.279  0.000
O  0.000  0.279  0.279
O  0.750  0.250  0.500
O  0.500  0.750  0.250
O  0.721  0.721  0.000
O  0.500  0.250  0.750
O  0.750  0.500  0.250
O  0.721  0.000  0.721
O  0.250  0.500  0.750
O  0.279  0.000  0.279
O  0.250  0.750  0.500
O  0.000  0.721  0.721
K  0.000  0.000  0.500
K  0.500  0.000  0.000
K  0.500  0.500  0.500
K  0.000  0.500  0.000
Sr  0.000  0.000  0.000
Pu  0.000  0.500  0.500
Pu  0.500  0.500  0.000
Pu  0.500  0.000  0.500

The total magnetization is 6.0 μB/cell. The electronic total energy is -7.92 eV/atom.

This record from the Alexandria database describes an optimized crystal structure of RbZr2Se2. The functional is PBE.

Unit cell a=4.281 b=4.281 c=8.150 alpha=74.77 beta=74.77 gamma=90.00
Fractional positions:
Rb  0.000  0.000  0.000
Zr  0.750  0.250  0.500
Zr  0.250  0.750  0.500
Se  0.633  0.633  0.733
Se  0.367  0.367  0.267

The total magnetization is 0.0 μB/cell. The electronic total energy is -5.95 eV/atom.

This record from the Alexandria database describes an optimized crystal structure of Th3SnSb2. The functional is PBE.

Unit cell a=4.516 b=6.384 c=7.827 alpha=114.07 beta=106.77 gamma=90.00
Fractional positions:
Sb  0.833  0.833  0.166
Sb  0.167  0.167  0.834
Th  0.835  0.335  0.169
Th  0.500  0.000  0.500
Th  0.165  0.665  0.831
Sn  0.500  0.500  0.500

As for the energy relative to the lowest polymorph listed for this composition: 0.000 eV per formula unit. The total magnetization is 0.0 μB/cell. The electronic total energy is -6.53 eV/atom.